An optimized crystal structure of BaNiAsO4, computed with PBE with a Hubbard U.

abc: 8.4035 8.4035 8.4035
angles: 90.00 90.00 90.00
Space group F-43m (No. 216)
Symmetry-distinct sites (fractional):
Ba: 0.0000 0.0000 0.0000 x4
Ni: 0.2500 0.2500 0.7500 x4
As: 0.0000 0.0000 0.5000 x4
O: 0.1199 0.1199 0.6199 x16

Calculated values
**Total moment**: 1.24 μB/f.u.
**E**: -37.21 eV/f.u.